1.
The following is a PBE-GGA calculation of a geometry-optimized TaBe2B4 structure, from Alexandria.

Cell: 6.421 6.421 6.421 Å, 152.71 151.23 40.07°
Atoms (fractional coordinates):
Ta  0.000  0.000  0.000
Be  0.188  0.688  0.500
Be  0.812  0.312  0.500
B  0.349  0.849  0.500
B  0.421  0.421  0.000
B  0.579  0.579  0.000
B  0.651  0.151  0.500

Calculated formation energy (eV/atom): -0.261
Energy (eV per atom): -6.835

***

2.
The following is a PBE-GGA calculation of a geometry-optimized TaSBr3 structure, from Alexandria.

Cell: 5.143 5.143 5.143 Å, 90.00 90.00 90.00°
Atoms (fractional coordinates):
Ta  0.000  0.000  0.000
S  0.500  0.500  0.500
Br  0.000  0.500  0.500
Br  0.500  0.000  0.500
Br  0.500  0.500  0.000

Energy (eV per atom): -3.005
Formation energy without anion corrections (eV/atom): 1.19
Excess energy over the best structure of this formula in the dataset (eV/atom): 1.8569